1.
PBE BaZr3S, optimized geometry; formation energy from raw total energies = 1.898 eV per atom; energy above the most stable polymorph in this dataset = 2085 meV per atom; theoretical density = 4.9 g/cm³; total magnetic moment = 0.7 μB per formula unit; volume = 29.8 A^3/atom; space-group type = Pm-3m (221)
1.0
5.299 0.000 0.000
0.000 5.299 0.000
0.000 0.000 5.299
Ba Zr S
1 3 1
Cartesian
0.000 0.000 0.000 Ba
0.000 0.000 2.650 Zr
0.000 2.650 0.000 Zr
2.650 0.000 0.000 Zr
2.650 2.650 2.650 S

---

2.
PBE Ba8Sb, optimized geometry; formation energy from raw total energies = -0.197 eV per atom; theoretical density = 4.0 g/cm³; total magnetic moment = 0.0 μB per formula unit; volume = 55.7 A^3/atom; space-group type = I4/mmm (139)
1.0
-7.183 7.183 2.430
7.183 -7.183 2.430
7.183 7.183 -2.430
Ba Sb
8 1
Cartesian
4.821 0.000 0.000 Ba
9.544 0.000 0.000 Ba
0.000 4.821 0.000 Ba
5.176 5.176 0.000 Ba
2.007 -2.007 2.430 Ba
-2.007 2.007 2.430 Ba
2.007 2.007 2.430 Ba
0.000 9.544 0.000 Ba
0.000 0.000 0.000 Sb

---

3.
PBE Ba4Sb, optimized geometry; formation energy from raw total energies = -0.046 eV per atom; energy above the most stable polymorph in this dataset = 324 meV per atom; theoretical density = 4.3 g/cm³; total magnetic moment = 0.2 μB per formula unit; volume = 52.4 A^3/atom; space-group type = I4/mmm (139)
1.0
-2.405 2.405 11.320
2.405 -2.405 11.320
2.405 2.405 -11.320
Ba Sb
4 1
Cartesian
0.000 0.000 1.741 Ba
2.405 0.000 5.660 Ba
0.000 2.405 5.660 Ba
0.000 0.000 20.898 Ba
0.000 0.000 11.320 Sb

---

4.
PBE Ba5Sb, optimized geometry; formation energy from raw total energies = 0.266 eV per atom; energy above the most stable polymorph in this dataset = 612 meV per atom; theoretical density = 4.0 g/cm³; total magnetic moment = 0.0 μB per formula unit; volume = 56.0 A^3/atom; space-group type = P6/mmm (191)
1.0
7.309 0.000 0.000
-3.654 6.329 0.000
0.000 0.000 7.264
Ba Sb
5 1
Cartesian
-1.827 3.165 0.000 Ba
0.000 4.220 3.632 Ba
3.654 0.000 0.000 Ba
1.827 3.165 0.000 Ba
3.654 2.110 3.632 Ba
0.000 0.000 3.632 Sb